1.
An optimized crystal structure of PuCdBiAu. Source: Alexandria via LeMat-Bulk, functional PBE.

Cell: 5.213 5.213 5.213 Å, 60.00 60.00 60.00°
Sites, in units of the cell vectors:
Pu  0.000  0.000  0.000
Cd  0.500  0.500  0.500
Bi  0.750  0.750  0.750
Au  0.250  0.250  0.250

SG: F-43m, No. 216


2.
An optimized crystal structure of CaBiAsAu. Source: Alexandria via LeMat-Bulk, functional PBE.

Cell: 5.166 5.166 5.166 Å, 60.00 60.00 60.00°
Sites, in units of the cell vectors:
Ca  0.000  0.000  0.000
Bi  0.500  0.500  0.500
As  0.750  0.750  0.750
Au  0.250  0.250  0.250

SG: F-43m, No. 216


| no. | ΔE_f (eV/f.u.) | magnetic moment (μB/cell) | uncorrected energy (eV/atom) |
| --- | --- | --- | --- |
| 1 | -1.0 | 5.82 | -5.84 |
| 2 | -1.6 | 0.00 | -3.84 |